Compound: TlRhPb5
Source: the Alexandria database
Functional: PBE-GGA
Structure: optimized geometry

```
TlRhPb5
1.0
4.7999 0.0000 0.0000
0.0000 4.8001 0.0000
0.0000 0.0000 8.6277
Tl Rh Pb
1 1 5
Cartesian
0.0000 0.0000 4.3139
2.4000 2.4001 0.0000
0.0000 2.4001 6.9683
0.0000 2.4001 1.6594
2.4000 0.0000 6.9684
2.4000 0.0000 1.6593
2.4000 2.4001 4.3139
```

Computed properties:
calculated formation energy: 44 meV/atom
Fermi-level density of states: 5.38 states/eV per cell



Compound: Mn2AlCrCd
Source: the Alexandria database
Functional: PBE-GGA
Structure: optimized geometry

```
Mn2AlCrCd
1.0
4.6687 0.0000 0.0000
0.0000 4.5866 0.0000
0.0000 0.0000 4.6687
Cr Mn Al Cd
1 2 1 1
Cartesian
2.3343 2.2933 2.3343
0.0000 0.0000 2.3343
2.3343 0.0000 0.0000
0.0000 2.2933 0.0000
0.0000 0.0000 0.0000
```

Computed properties:
calculated formation energy: 2376 meV/atom
Fermi-level density of states: 9.71 states/eV per cell



Compound: ZrAl2H6
Source: the Alexandria database
Functional: PBE-GGA
Structure: optimized geometry

```
ZrAl2H6
1.0
4.2356 0.0000 2.4455
1.4119 3.9934 2.4455
0.0000 0.0000 4.8909
Zr Al H
1 2 6
Cartesian
0.0000 0.0000 0.0000
4.2356 2.9951 7.3364
1.4119 0.9984 2.4455
2.2014 2.8769 5.9689
4.0685 2.8769 4.8909
3.4461 1.1165 5.9689
3.4461 1.1165 3.8129
1.5790 1.1165 4.8909
2.2014 2.8769 3.8129
```

Computed properties:
uncorrected energy: -3.726 eV/atom
Fermi-level density of states: 3.07 states/eV per cell



Compound: BaGaP2Cl
Source: the Alexandria database
Functional: PBE-GGA
Structure: optimized geometry

```
BaGaP2Cl
1.0
-4.0455 0.8629 -2.2235
2.1791 -0.4430 -4.1365
-1.1954 -5.6640 -0.0232
P Ba Ga Cl
2 1 1 1
Cartesian
1.0895 -0.2215 -2.0682
-2.0228 0.4315 -1.1118
-1.5309 -2.6220 -3.1916
0.0000 0.0000 0.0000
-0.5977 -2.8320 -0.0116
```

Computed properties:
formation energy without anion corrections: -55 kJ per mole of atoms
Fermi-level density of states: 1.22 states/eV per cell
relative energy among the computed polymorphs: 0.0000 eV/atom



Compound: SrAgSb
Source: the Alexandria database
Functional: PBE-GGA
Structure: optimized geometry

```
SrAgSb
1.0
7.5726 -0.0001 0.0023
0.0000 4.7671 0.0000
-0.0046 0.0001 4.7661
Sr Ag Sb
2 2 2
Cartesian
5.6550 1.6100 0.8052
2.8075 3.9936 3.1898
0.4457 3.9938 0.8039
0.4434 1.6105 3.1894
2.2220 1.6100 0.8071
6.2406 3.9937 3.1880
```

Computed properties:
formation energy without anion corrections: -67 kJ per mole of atoms
Fermi-level density of states: 0.09 states/eV per cell



Compound: PuZrMo4
Source: the Alexandria database
Functional: PBE-GGA
Structure: optimized geometry

```
PuZrMo4
1.0
5.4320 0.0000 0.0000
2.7160 4.7043 0.0000
2.7160 1.5681 4.4352
Mo Zr Pu
4 1 1
Cartesian
5.4320 3.1362 0.5538
5.4320 1.5676 2.7722
6.7905 3.9205 2.7722
4.0736 3.9205 2.7722
2.7160 1.5681 1.1088
0.0000 0.0000 0.0000
```

Computed properties:
calculated formation energy: 149 meV/atom
Fermi-level density of states: 14.32 states/eV per cell



Compound: RbNa3Tl2I6
Source: the Alexandria database
Functional: PBE-GGA
Structure: optimized geometry

```
RbNa3Tl2I6
1.0
4.8200 0.0000 0.0000
0.0000 9.8136 0.2222
-2.4100 -2.9691 10.2419
Rb Na Tl I
1 3 2 6
Cartesian
2.4100 0.0000 0.0000
2.4100 4.9068 0.1111
2.4100 -0.3198 6.8623
0.0000 7.1643 3.6019
2.4100 4.5629 6.9537
0.0000 2.2817 3.5105
0.0000 7.1921 6.8578
2.4100 4.8853 3.4519
2.4100 -0.3476 3.6063
2.4100 -0.2586 10.1724
0.0000 7.1031 0.2917
0.0000 1.9592 7.0122
```

Computed properties:
formation energy without anion corrections: -105 kJ per mole of atoms
Fermi-level density of states: 0.00 states/eV per cell



Compound: YSb2Os
Source: the Alexandria database
Functional: PBE-GGA
Structure: optimized geometry

```
YSb2Os
1.0
-0.8650 -3.1485 0.2885
2.3009 -0.4226 2.2961
-5.9771 2.2285 6.3996
Os Sb Y
1 2 1
Cartesian
-3.8124 -0.0965 6.1429
-5.5137 2.0557 5.9035
-0.9277 -1.1720 3.0543
-3.2531 1.2129 3.4830
```

Computed properties:
formation energy without anion corrections: -17 kJ per mole of atoms
Fermi-level density of states: 1.79 states/eV per cell
relative energy among the computed polymorphs: 0.1341 eV/atom



Compound: Nd2As3IrRh4
Source: the Alexandria database
Functional: PBE-GGA
Structure: optimized geometry

```
Nd2As3IrRh4
1.0
-0.5584 -0.4624 -4.1961
3.2992 -2.6885 -0.1428
-6.3355 -7.8655 1.7098
Nd As Ir Rh
2 3 1 4
Cartesian
-1.8783 -2.2165 -1.6665
-3.0868 -7.2244 1.2069
-3.1677 -3.9327 0.8549
-5.7720 -7.0505 -0.6156
0.8069 -2.3904 0.1560
-1.7973 -5.5082 -1.3145
1.3704 -1.5754 -2.1694
0.0000 0.0000 0.0000
-4.2842 -5.2034 -1.0172
-0.6809 -4.2375 0.5576
```

Computed properties:
calculated formation energy: -752 meV/atom
Fermi-level density of states: 9.14 states/eV per cell



Compound: SrTeAs4
Source: the Alexandria database
Functional: PBE-GGA
Structure: optimized geometry

```
SrTeAs4
1.0
-2.1921 -4.5281 -3.5329
-5.9012 0.0275 -1.7220
-1.4870 1.1183 -5.8590
Sr Te As
1 1 4
Cartesian
-7.1852 -2.5367 -8.3354
0.0000 0.0000 0.0000
-4.6701 -3.8686 -6.0030
-4.2532 -0.5298 -7.3785
-6.8633 -1.1749 -4.9322
-3.3739 -1.1911 -3.9140
```

Computed properties:
formation energy without anion corrections: -21 kJ per mole of atoms
Fermi-level density of states: 0.69 states/eV per cell



Compound: Ag4ICl3
Source: the Alexandria database
Functional: PBE-GGA
Structure: optimized geometry

```
Ag4ICl3
1.0
-4.5292 3.3818 4.1109
0.2292 -5.6855 4.9296
6.6315 3.8536 4.1361
I Ag Cl
2 8 6
Cartesian
-4.4293 2.3918 4.8731
1.3042 -1.1702 8.1787
-0.5246 -4.1694 4.7257
-1.8031 0.4581 2.4641
0.9809 -0.3507 3.3577
-1.2164 -0.5852 7.0713
-0.5966 0.2219 9.9292
0.3766 3.1682 5.6239
2.1094 1.3474 9.1457
4.2865 1.5703 5.4195
-2.2546 -2.8721 6.2907
1.6235 -2.6479 4.5057
-0.7538 0.8868 4.9202
3.1763 1.0721 3.0879
2.5994 2.8354 7.0117
4.9017 -0.7429 6.5504
```

Computed properties:
formation energy without anion corrections: -37 kJ per mole of atoms



Compound: GdHfPd
Source: the Alexandria database
Functional: PBE-GGA
Structure: optimized geometry

```
GdHfPd
1.0
3.4087 0.0000 0.0000
0.0000 3.4087 0.0000
-1.7044 -1.7044 5.8888
Gd Hf Pd
1 1 1
Cartesian
0.0000 0.0000 0.0698
0.0000 0.0000 3.5883
1.7044 1.7044 2.2307
```

Computed properties:
calculated formation energy: -414 meV/atom
Fermi-level density of states: 3.78 states/eV per cell



Compound: CuOsN2
Source: the Alexandria database
Functional: PBE-GGA
Structure: optimized geometry

```
CuOsN2
1.0
4.5230 0.0000 0.0000
0.0000 4.5230 0.0000
2.2615 2.2615 4.6759
Os Cu N
2 2 4
Cartesian
0.0000 0.0000 0.0000
4.5230 2.2615 2.3379
2.2615 2.2615 0.0000
2.2615 4.5230 2.3379
3.4963 1.1307 1.1690
1.0267 3.3922 1.1690
3.3922 3.2882 3.5069
5.6537 5.7578 3.5069
```

Computed properties:
formation energy without anion corrections: 49 kJ per mole of atoms
Fermi-level density of states: 1.83 states/eV per cell
relative energy among the computed polymorphs: 0.0271 eV/atom



Compound: TiMn2Fe2
Source: the Alexandria database
Functional: PBE-GGA
Structure: optimized geometry

```
TiMn2Fe2
1.0
6.8502 0.0000 0.0000
0.0000 6.8502 0.0000
0.0000 0.0000 2.4983
Mn Fe Ti
4 4 2
Cartesian
1.1704 4.5955 1.2491
4.5955 5.6798 1.2491
5.6798 2.2547 1.2491
2.2547 1.1704 1.2491
2.5726 5.9977 0.0000
5.9977 4.2776 0.0000
4.2776 0.8525 0.0000
0.8525 2.5726 0.0000
0.0000 0.0000 0.0000
3.4251 3.4251 0.0000
```

Computed properties:
calculated formation energy: 48 meV/atom
Fermi-level density of states: 9.10 states/eV per cell
relative energy among the computed polymorphs: 0.0000 eV/atom



Compound: Pr5Ho3Se12
Source: the Alexandria database
Functional: PBE-GGA
Structure: optimized geometry

```
Pr5Ho3Se12
1.0
14.8810 0.0000 0.0000
-4.9603 14.0300 0.0000
-4.9603 -7.0150 12.1503
Ho Pr Se
12 20 48
Cartesian
8.6806 4.3844 1.5188
8.6806 9.6456 1.5188
-1.2401 6.1381 7.5939
1.2401 -0.8769 4.5564
11.1608 0.0000 3.0376
1.2401 7.0150 3.0376
3.7203 0.0000 9.1127
-6.2004 7.0150 9.1127
3.7203 7.8918 7.5939
6.2004 0.8769 4.5564
-3.7203 -2.6306 10.6315
-3.7203 2.6306 10.6315
-1.2401 3.5075 3.0376
-2.4802 7.0150 0.0000
0.0000 0.0000 0.0000
3.7203 2.6306 1.5188
4.9603 -3.5075 6.0751
4.9603 7.0150 0.0000
-3.7203 7.8918 4.5564
6.2004 -4.3844 10.6315
6.2004 6.1381 4.5564
1.2401 -3.5075 9.1127
3.7203 10.5225 3.0376
2.4802 3.5075 6.0751
7.4405 0.0000 0.0000
-2.4802 -3.5075 6.0751
-1.2401 0.8769 7.5939
-1.2401 11.3993 1.5188
-4.9603 3.5075 6.0751
8.6806 -0.8769 7.5939
1.2401 4.3844 10.6315
6.2004 3.5075 9.1127
9.9410 1.4509 0.6918
-0.0203 4.8321 5.1645
10.8733 3.2774 3.2688
6.4879 2.3153 1.6025
1.9457 5.5272 8.1897
10.3185 6.8456 2.1146
-0.9526 7.9770 4.8712
-4.0077 11.7146 1.6025
0.5345 8.5028 8.1897
7.0427 7.1843 2.1146
7.4202 3.6338 4.4727
7.4202 12.5790 0.6918
-4.4259 6.3486 6.7670
2.8780 5.2684 1.2039
-4.9401 10.3961 4.4727
2.4599 -2.1829 6.9858
-0.5345 0.8214 2.8064
2.8780 8.9309 0.9106
6.4879 10.7526 3.2688
-0.3978 5.0991 0.9106
-3.0146 7.8364 9.3439
3.4328 6.0529 4.8712
6.9060 7.6814 6.7670
5.3582 -1.7466 10.9464
1.5276 0.9621 7.2791
-1.9457 -0.6664 5.3833
-0.3978 8.7616 1.2039
-1.5276 -3.7376 8.8815
7.9750 -0.8214 2.8064
5.3582 1.9159 11.2397
2.0823 -1.9159 11.2397
2.5005 9.1979 5.1645
5.4948 6.1935 9.3439
9.9004 -3.3811 7.6776
9.3862 0.6664 5.3833
-2.4599 -5.5640 11.4585
2.0823 1.7466 10.9464
4.4259 -1.4878 3.9606
-2.0823 -0.1693 10.0357
-2.4599 3.3811 7.6776
8.9681 -4.6996 10.5478
5.9130 -0.9621 7.2791
-1.5276 4.6996 10.5478
-5.3582 0.1693 10.0357
3.0146 1.4878 3.9606
-5.9129 3.7376 8.8815
4.9806 2.1829 6.9858
-4.9806 5.5640 11.4585
```

Computed properties:
formation energy without anion corrections: -151 kJ per mole of atoms



Compound: Ca2BiPb
Source: the Alexandria database
Functional: PBE-GGA
Structure: optimized geometry

```
Ca2BiPb
1.0
3.5122 0.0000 -0.6069
0.0004 5.6885 0.0023
0.3790 0.0027 12.5954
Ca Bi Pb
4 2 2
Cartesian
3.1111 4.2695 7.4820
0.7804 1.4216 4.5087
0.2522 4.2695 1.4570
3.6393 1.4216 10.5337
2.0220 1.4248 1.2329
1.8695 4.2662 10.7579
1.3543 1.4258 7.7799
2.5373 4.2653 4.2108
```

Computed properties:
calculated formation energy: -549 meV/atom
Fermi-level density of states: 4.74 states/eV per cell
relative energy among the computed polymorphs: 0.0750 eV/atom



Compound: Nd4SnPd3
Source: the Alexandria database
Functional: PBE-GGA
Structure: optimized geometry

```
Nd4SnPd3
1.0
-2.2593 -2.5113 -2.2775
3.6629 -2.7186 -0.6359
-2.7290 -5.8080 9.1115
Nd Sn Pd
4 1 3
Cartesian
-0.3158 -4.7807 1.9409
-0.4883 -6.2963 7.4271
-0.3999 -0.8510 1.3351
-2.8637 -4.9462 4.6509
0.4884 -3.0691 -0.7443
0.2395 -4.7474 4.9972
-1.1504 -2.4484 3.8409
-3.6186 -6.5528 7.1713
```

Computed properties:
calculated formation energy: -762 meV/atom
Fermi-level density of states: 5.69 states/eV per cell



Compound: TiTlTe3
Source: the Alexandria database
Functional: PBE-GGA
Structure: optimized geometry

```
TiTlTe3
1.0
5.4254 0.0000 0.0000
0.0000 5.4254 0.0000
0.0000 0.0000 5.4254
Tl Te Ti
1 3 1
Cartesian
2.7127 2.7127 2.7127
0.0000 2.7127 0.0000
0.0000 0.0000 2.7127
2.7127 0.0000 0.0000
0.0000 0.0000 0.0000
```

Computed properties:
formation energy without anion corrections: -30 kJ per mole of atoms
Fermi-level density of states: 2.01 states/eV per cell
relative energy among the computed polymorphs: 0.0870 eV/atom



Compound: La9NdEr2
Source: the Alexandria database
Functional: PBE-GGA
Structure: optimized geometry

```
La9NdEr2
1.0
5.2067 0.0000 0.0000
0.0000 5.2067 0.0000
0.0000 0.0000 15.6602
La Nd Er
9 1 2
Cartesian
2.6033 2.6033 0.0000
2.6033 2.6033 5.2383
2.6033 2.6033 10.4218
2.6033 0.0000 2.6437
2.6033 0.0000 7.8301
2.6033 0.0000 13.0165
0.0000 2.6033 2.6437
0.0000 2.6033 7.8301
0.0000 2.6033 13.0165
0.0000 0.0000 0.0000
0.0000 0.0000 5.2429
0.0000 0.0000 10.4172
```

Computed properties:
calculated formation energy: 7 meV/atom
Fermi-level density of states: 17.04 states/eV per cell



Compound: La7Y3Cd
Source: the Alexandria database
Functional: PBE-GGA
Structure: optimized geometry

```
La7Y3Cd
1.0
6.5401 0.3879 -0.2766
-0.2486 7.8026 0.2951
0.4966 0.5717 7.7753
La Y Cd
7 3 1
Cartesian
1.3561 2.1251 1.9191
1.9063 7.3442 4.3768
4.6223 3.9362 0.8119
2.1658 4.8260 6.9819
0.1240 4.1872 4.0352
4.8818 1.4180 3.4170
5.4321 6.6371 5.8747
-0.1279 6.6318 1.5062
3.2700 0.1939 -0.1383
0.3760 1.7425 6.5642
3.3941 4.3811 3.8969
```

Computed properties:
calculated formation energy: 171 meV/atom
Fermi-level density of states: 18.33 states/eV per cell



Compound: HgSb2Br6
Source: the Alexandria database
Functional: PBE-GGA
Structure: optimized geometry

```
HgSb2Br6
1.0
-3.4008 -4.6201 1.6175
5.6140 -2.8935 -4.6243
4.1763 2.8035 10.7190
Hg Sb Br
1 2 6
Cartesian
2.0882 1.4017 5.3595
4.5736 -3.3272 7.9432
1.8159 -1.3829 -0.2311
6.7122 -0.5346 7.7101
-0.3227 -4.1754 0.0021
1.1226 0.1605 1.7097
2.5560 -2.3256 6.7899
5.2669 -4.8706 6.0025
3.8335 -2.3845 0.9223
```

Computed properties:
formation energy without anion corrections: -49 kJ per mole of atoms
Fermi-level density of states: 0.00 states/eV per cell
relative energy among the computed polymorphs: 0.0000 eV/atom